Entry from Alexandria: a crystal of CdIn2Pb relaxed with PBEsol (SCAN).

```
data_CdIn2Pb
_chemical_formula_sum 'Cd1 In2 Pb1'
_cell_length_a 3.267
_cell_length_b 5.179
_cell_length_c 6.159
_cell_angle_alpha 90.00
_cell_angle_beta 98.07
_cell_angle_gamma 90.00
_symmetry_space_group_name_H-M 'P 1 2/m 1'
_symmetry_Int_Tables_number 10
loop_
_symmetry_equiv_pos_as_xyz
'x,y,z'
'-x,-y,-z'
'-x,y,-z'
'x,-y,z'
loop_
_atom_site_label
_atom_site_type_symbol
_atom_site_fract_x
_atom_site_fract_y
_atom_site_fract_z
Cd1 Cd 0.000 0.000 0.000
In1 In 0.154 0.500 0.759
Pb1 Pb 0.500 0.000 0.500
```

Properties
Formation energy from the elements in meV per atom: 94.1

Entry from Alexandria: a crystal of CdIn2Pb relaxed with PBEsol (SCAN).

```
data_CdIn2Pb
_chemical_formula_sum 'Cd2 In4 Pb2'
_cell_length_a 3.673
_cell_length_b 5.335
_cell_length_c 10.534
_cell_angle_alpha 90.00
_cell_angle_beta 90.00
_cell_angle_gamma 90.00
_symmetry_space_group_name_H-M 'I m m 2'
_symmetry_Int_Tables_number 44
loop_
_symmetry_equiv_pos_as_xyz
'x,y,z'
'-x,-y,z'
'-x,y,z'
'x,-y,z'
'x+1/2,y+1/2,z+1/2'
'-x+1/2,-y+1/2,z+1/2'
'-x+1/2,y+1/2,z+1/2'
'x+1/2,-y+1/2,z+1/2'
loop_
_atom_site_label
_atom_site_type_symbol
_atom_site_fract_x
_atom_site_fract_y
_atom_site_fract_z
Cd1 Cd 0.000 0.000 0.000
In1 In 0.000 0.000 0.516
In2 In 0.000 0.500 0.268
Pb1 Pb 0.000 0.500 0.750
```

Properties
Formation energy from the elements in meV per atom: 100.4

Please write out number 2 again, unchanged.
Entry from Alexandria: a crystal of CdIn2Pb relaxed with PBEsol (SCAN).

```
data_CdIn2Pb
_chemical_formula_sum 'Cd2 In4 Pb2'
_cell_length_a 3.673
_cell_length_b 5.335
_cell_length_c 10.534
_cell_angle_alpha 90.00
_cell_angle_beta 90.00
_cell_angle_gamma 90.00
_symmetry_space_group_name_H-M 'I m m 2'
_symmetry_Int_Tables_number 44
loop_
_symmetry_equiv_pos_as_xyz
'x,y,z'
'-x,-y,z'
'-x,y,z'
'x,-y,z'
'x+1/2,y+1/2,z+1/2'
'-x+1/2,-y+1/2,z+1/2'
'-x+1/2,y+1/2,z+1/2'
'x+1/2,-y+1/2,z+1/2'
loop_
_atom_site_label
_atom_site_type_symbol
_atom_site_fract_x
_atom_site_fract_y
_atom_site_fract_z
Cd1 Cd 0.000 0.000 0.000
In1 In 0.000 0.000 0.516
In2 In 0.000 0.500 0.268
Pb1 Pb 0.000 0.500 0.750
```

Properties
Formation energy from the elements in meV per atom: 100.4

> Which value of formation energy from the elements does entry 2 give?

100.4 meV per atom